HgOs2Rh PBE optimized geometry; crystal system = orthorhombic; ΔH_f (0 K) = 637 meV per atom; DOS(E_F) = 4.60 states/eV per cell
1.0
0.256 0.203 -2.764
-2.529 -0.003 1.163
0.328 9.624 0.738
Rh Os Hg
1 2 1
Cartesian
0.169 4.958 0.380 Rh
0.321 9.426 0.723 Os
-0.890 7.329 -0.246 Os
-1.053 2.549 -0.613 Hg

HgOsRh2 PBE optimized geometry; crystal system = orthorhombic; ΔH_f (0 K) = 267 meV per atom; DOS(E_F) = 4.29 states/eV per cell
1.0
-2.059 -1.689 -0.895
1.286 -2.756 2.244
-3.512 1.947 4.404
Os Hg Rh
1 1 2
Cartesian
-2.142 -1.249 2.877 Os
-0.386 -2.223 0.675 Hg
-0.983 0.545 1.233 Rh
-2.529 1.402 3.171 Rh

HgOs2Rh PBE optimized geometry; crystal system = tetragonal; ΔH_f (0 K) = 668 meV per atom; DOS(E_F) = 4.76 states/eV per cell
1.0
-0.762 -2.249 4.241
-0.438 3.295 3.547
-2.161 -0.417 -4.334
Rh Hg Os
1 1 2
Cartesian
-0.600 0.523 3.894 Rh
-1.762 -1.071 1.900 Hg
0.000 0.000 0.000 Os
-1.600 1.701 1.553 Os

HgOsRh2 PBE optimized geometry; crystal system = cubic; ΔH_f (0 K) = 647 meV per atom; DOS(E_F) = 2.02 states/eV per cell
1.0
-2.707 -2.678 2.354
-4.402 -0.008 -0.814
-1.907 -3.541 -1.965
Os Rh Hg
1 2 1
Cartesian
-6.761 -4.670 -0.318 Os
-2.254 -1.557 -0.106 Rh
0.000 0.000 0.000 Rh
-4.508 -3.113 -0.212 Hg

HgOs2Rh PBE optimized geometry; crystal system = orthorhombic; ΔH_f (0 K) = 772 meV per atom; DOS(E_F) = 5.48 states/eV per cell
1.0
-1.169 2.492 -0.181
0.989 -1.233 -2.261
-8.742 -4.210 -1.530
Rh Os Hg
1 2 1
Cartesian
-4.460 -1.475 -1.986 Rh
-2.336 -1.125 -0.409 Os
-6.406 -3.085 -1.121 Os
-0.090 0.630 -1.221 Hg

HgOs2Rh PBE optimized geometry; crystal system = tetragonal; ΔH_f (0 K) = 301 meV per atom; DOS(E_F) = 3.86 states/eV per cell
1.0
2.819 0.000 0.000
0.000 2.819 0.000
0.000 0.000 7.980
Rh Os Hg
1 2 1
Cartesian
0.000 0.000 3.817 Rh
0.000 0.000 0.247 Os
1.410 1.410 1.936 Os
1.410 1.410 5.969 Hg

HgOsRh2 PBE optimized geometry; crystal system = tetragonal; ΔH_f (0 K) = 476 meV per atom; DOS(E_F) = 4.77 states/eV per cell
1.0
-1.969 1.969 4.025
1.969 -1.969 4.025
1.969 1.969 -4.025
Os Rh Hg
1 2 1
Cartesian
1.969 0.000 2.013 Os
0.000 1.969 2.013 Rh
0.000 0.000 0.000 Rh
0.000 0.000 4.025 Hg

HgOsRh2 PBE optimized geometry; crystal system = orthorhombic; ΔH_f (0 K) = 433 meV per atom; DOS(E_F) = 2.66 states/eV per cell
1.0
-1.388 2.161 5.713
1.388 -2.161 5.713
1.388 2.161 -5.713
Os Rh Hg
1 2 1
Cartesian
0.000 2.161 3.186 Os
1.388 0.000 2.442 Rh
0.000 0.000 10.980 Rh
0.000 0.000 6.244 Hg

HgOsRh2 PBE optimized geometry; crystal system = tetragonal; ΔH_f (0 K) = 363 meV per atom; DOS(E_F) = 5.63 states/eV per cell
1.0
2.810 0.000 0.000
0.000 2.810 0.000
0.000 0.000 7.988
Os Rh Hg
1 2 1
Cartesian
1.405 1.405 6.204 Os
1.405 1.405 1.856 Rh
0.000 0.000 7.936 Rh
0.000 0.000 3.974 Hg

Hg2OsRh2 PBE optimized geometry; crystal system = tetragonal; ΔH_f (0 K) = 1088 meV per atom; DOS(E_F) = 6.74 states/eV per cell
1.0
3.539 0.000 0.000
0.000 3.539 0.000
1.769 1.769 7.532
Rh Os Hg
2 1 2
Cartesian
1.769 3.539 3.766 Rh
3.539 1.769 3.766 Rh
0.000 0.000 0.000 Os
1.769 1.769 1.505 Hg
3.539 3.539 6.027 Hg

HgOsRh2 PBE optimized geometry; crystal system = orthorhombic; ΔH_f (0 K) = 661 meV per atom; DOS(E_F) = 5.53 states/eV per cell
1.0
-0.438 0.052 -2.796
3.702 -2.824 -0.633
-2.862 -3.837 0.378
Rh Hg Os
2 1 1
Cartesian
-1.650 -1.892 -1.209 Rh
0.000 0.000 0.000 Rh
1.632 -1.386 -1.714 Hg
0.420 -3.330 -0.128 Os

HgOsRh2 PBE optimized geometry; crystal system = trigonal; ΔH_f (0 K) = 357 meV per atom; DOS(E_F) = 4.18 states/eV per cell
1.0
-9.349 0.165 0.481
-9.019 -2.481 -0.403
-8.867 -1.886 2.339
Rh Os Hg
2 1 1
Cartesian
-27.194 -4.195 2.413 Rh
-20.300 -3.132 1.802 Rh
-7.001 -1.080 0.621 Os
-13.593 -2.097 1.206 Hg

HgOs3Rh PBE optimized geometry; crystal system = cubic; ΔH_f (0 K) = 2425 meV per atom; DOS(E_F) = 10.11 states/eV per cell
1.0
4.699 0.000 0.000
0.000 4.699 0.000
0.000 0.000 4.699
Hg Os Rh
1 3 1
Cartesian
2.349 2.349 2.349 Hg
0.000 0.000 2.349 Os
2.349 0.000 0.000 Os
0.000 2.349 0.000 Os
0.000 0.000 0.000 Rh

HgOs2Rh PBE optimized geometry; crystal system = trigonal; ΔH_f (0 K) = 359 meV per atom; DOS(E_F) = 6.66 states/eV per cell
1.0
9.308 -1.403 -0.003
9.308 1.403 -0.003
9.097 0.000 2.418
Os Hg Rh
2 1 1
Cartesian
20.772 0.000 1.808 Os
0.216 0.000 0.019 Os
6.895 0.000 0.600 Hg
13.688 0.000 1.192 Rh

HgOs2Rh PBE optimized geometry; crystal system = tetragonal; ΔH_f (0 K) = 787 meV per atom; DOS(E_F) = 4.48 states/eV per cell
1.0
3.824 0.000 0.000
0.000 3.824 0.000
0.000 0.000 4.313
Hg Os Rh
1 2 1
Cartesian
0.000 0.000 2.156 Hg
1.912 0.000 0.000 Os
0.000 1.912 0.000 Os
1.912 1.912 2.156 Rh

HgOsRh2 PBE optimized geometry; crystal system = tetragonal; ΔH_f (0 K) = 776 meV per atom; DOS(E_F) = 11.51 states/eV per cell
1.0
-5.572 -4.549 -0.039
3.883 -4.789 3.706
-1.752 -3.578 4.194
Rh Os Hg
4 2 2
Cartesian
-2.948 -10.662 6.205 Rh
-1.791 -6.377 4.669 Rh
1.069 -4.639 3.358 Rh
-3.212 -4.154 1.489 Rh
0.644 -6.518 4.867 Os
-0.845 -4.669 1.834 Os
0.000 0.000 0.000 Hg
-4.084 -6.398 2.994 Hg

Tb5Hg2OsRh2 PBE optimized geometry; crystal system = tetragonal; ΔH_f (0 K) = -465 meV per atom; DOS(E_F) = 10.71 states/eV per cell
1.0
3.538 0.000 0.000
0.000 11.604 0.000
0.000 0.000 11.604
Os Tb Hg Rh
2 10 4 4
Cartesian
0.000 5.802 5.802 Os
0.000 0.000 0.000 Os
1.769 4.943 3.578 Tb
1.769 10.745 2.224 Tb
1.769 3.578 6.662 Tb
1.769 0.860 9.380 Tb
1.769 6.662 8.026 Tb
1.769 0.000 5.802 Tb
1.769 8.026 4.943 Tb
1.769 5.802 0.000 Tb
1.769 2.224 0.860 Tb
1.769 9.380 10.745 Tb
0.000 2.041 3.761 Hg
0.000 3.761 9.563 Hg
0.000 7.844 2.041 Hg
0.000 9.563 7.844 Hg
0.000 10.070 4.268 Rh
0.000 4.268 1.534 Rh
0.000 7.336 10.070 Rh
0.000 1.534 7.336 Rh

HgOsRhW2 PBE optimized geometry; crystal system = tetragonal; ΔH_f (0 K) = 2289 meV per atom; DOS(E_F) = 7.35 states/eV per cell
1.0
-3.251 3.275 0.626
-0.641 -1.508 4.556
3.277 2.976 1.446
W Rh Os Hg
2 1 1 1
Cartesian
1.639 1.488 0.723 W
-1.625 1.638 0.313 W
0.000 0.000 0.000 Rh
-0.307 2.372 3.314 Os
-0.321 -0.754 2.278 Hg

HgOsRu2 PBE optimized geometry; crystal system = monoclinic; ΔH_f (0 K) = 574 meV per atom; DOS(E_F) = 5.54 states/eV per cell
1.0
4.768 0.005 -0.004
3.944 2.679 -0.004
0.788 0.243 4.924
Ru Hg Os
2 1 1
Cartesian
4.804 1.480 2.298 Ru
8.659 2.668 0.152 Ru
7.125 2.195 3.687 Hg
2.375 0.732 1.229 Os

HgOsRu2 PBE optimized geometry; crystal system = orthorhombic; ΔH_f (0 K) = 662 meV per atom; DOS(E_F) = 6.11 states/eV per cell
1.0
4.828 0.015 -0.014
-1.561 4.568 -0.014
0.007 0.010 2.808
Ru Os Hg
2 1 1
Cartesian
1.633 2.292 -0.014 Ru
0.000 0.000 0.000 Ru
-0.777 2.289 1.397 Os
2.418 0.013 1.397 Hg